Mn2WBr | PBE | optimized geometry

Cell lengths 4.309, 4.309, 4.309 Å; angles 60.00, 60.00, 60.00 degrees
Sites, in units of the cell vectors:
Br 0.000 0.000 0.000
Mn 0.250 0.250 0.250
Mn 0.750 0.750 0.750
W 0.500 0.500 0.500

For the calculated density, the calculation gives 10969 kg/m³. Its space group is No. 225. The energy above the lowest structure with this stoichiometry comes out at 807 meV/atom. For the uncorrected formation energy, the calculation gives 1.182 eV/atom.